DFT (GGA-PBE) results for LiEr2Tl3Te6 after structural relaxation.

Lattice parameters (Å, degrees): 7.656 7.656 8.185 99.00 99.00 120.12
Fractional positions:
Li 0.000 0.000 0.000
Er 0.333 0.667 0.000
Er 0.667 0.333 0.000
Tl 0.171 0.829 0.500
Tl 0.500 0.500 0.500
Tl 0.829 0.171 0.500
Te 0.072 0.407 0.217
Te 0.262 0.262 0.782
Te 0.407 0.072 0.217
Te 0.593 0.928 0.783
Te 0.738 0.738 0.218
Te 0.928 0.593 0.783

The total magnetization is 0.0 μB per cell. The value obtained for the total DFT energy (no corrections) is -46.43 eV/cell. For the density of states at the Fermi level, the calculation gives 0.6530 states/eV/atom. As for the raw formation energy: -0.79 eV per atom.